(1)
{"formula": "NdY7Al4", "functional": "PBE-GGA", "state": "optimized geometry", "final_energy_ev_per_atom": -5.500, "dos_at_fermi_per_ev_cell": 12.56, "rho_g_cm3": 4.374, "formation_energy_ev_per_fu": -1.01, "crystal_system": "monoclinic", "cell": [[6.958, -2.756, 0.000], [6.958, 2.756, 0.000], [-5.952, 0.000, 8.657]], "species": ["Nd", "Y", "Y", "Y", "Y", "Y", "Y", "Y", "Al", "Al", "Al", "Al"], "fractional_positions": [[0.000, 0.000, 0.000], [0.066, 0.066, 0.388], [0.213, 0.213, 0.877], [0.302, 0.302, 0.359], [0.500, 0.500, 0.000], [0.698, 0.698, 0.641], [0.787, 0.787, 0.123], [0.934, 0.934, 0.612], [0.322, 0.322, 0.669], [0.445, 0.445, 0.236], [0.555, 0.555, 0.764], [0.678, 0.678, 0.331]]}

=====

(2)
{"formula": "Nd2YAl6", "functional": "PBE-GGA", "state": "optimized geometry", "final_energy_ev_per_atom": -4.754, "dos_at_fermi_per_ev_cell": 4.53, "rho_g_cm3": 4.471, "formation_energy_ev_per_fu": -4.33, "crystal_system": "hexagonal", "cell": [[7.959, 0.000, 0.000], [-3.979, 6.892, 0.000], [0.000, 0.000, 3.651]], "species": ["Nd", "Nd", "Y", "Al", "Al", "Al", "Al", "Al", "Al"], "fractional_positions": [[0.333, 0.667, 0.000], [0.667, 0.333, 0.000], [0.000, 0.000, 0.000], [0.000, 0.331, 0.500], [0.000, 0.669, 0.500], [0.331, 0.000, 0.500], [0.331, 0.331, 0.500], [0.669, 0.000, 0.500], [0.669, 0.669, 0.500]]}

=====

(3)
{"formula": "NdYAl", "functional": "PBE-GGA", "state": "optimized geometry", "final_energy_ev_per_atom": -5.139, "dos_at_fermi_per_ev_cell": 1.73, "relative_energy_mev_per_atom": 98, "rho_g_cm3": 5.158, "formation_energy_ev_per_fu": -0.44, "crystal_system": "trigonal", "cell": [[5.131, 0.000, 0.000], [-2.565, 4.443, 0.000], [0.000, 0.000, 3.673]], "species": ["Nd", "Y", "Al"], "fractional_positions": [[0.000, 0.000, 0.000], [0.667, 0.333, 0.561], [0.333, 0.667, 0.326]]}

=====

(4)
{"formula": "NdY2Al", "functional": "PBE-GGA", "state": "optimized geometry", "final_energy_ev_per_atom": -5.567, "dos_at_fermi_per_ev_cell": 3.46, "relative_energy_mev_per_atom": 0, "rho_g_cm3": 5.036, "formation_energy_ev_per_fu": -0.83, "crystal_system": "tetragonal", "cell": [[3.552, 0.000, 0.000], [0.000, 3.552, 0.000], [0.000, 0.000, 9.121]], "species": ["Nd", "Y", "Y", "Al"], "fractional_positions": [[0.000, 0.000, 0.000], [0.500, 0.500, 0.292], [0.500, 0.500, 0.708], [0.000, 0.000, 0.500]]}

=====

(5)
{"formula": "Nd2YAl", "functional": "PBE-GGA", "state": "optimized geometry", "final_energy_ev_per_atom": -5.104, "dos_at_fermi_per_ev_cell": 6.01, "relative_energy_mev_per_atom": 0, "rho_g_cm3": 5.818, "formation_energy_ev_per_fu": -0.67, "crystal_system": "tetragonal", "cell": [[4.840, 0.000, 0.000], [0.000, 4.840, 0.000], [0.000, 0.000, 4.927]], "species": ["Nd", "Nd", "Y", "Al"], "fractional_positions": [[0.000, 0.500, 0.000], [0.500, 0.000, 0.000], [0.000, 0.000, 0.500], [0.500, 0.500, 0.500]]}

=====

(6)
{"formula": "NdY3Al2", "functional": "PBE-GGA", "state": "optimized geometry", "final_energy_ev_per_atom": -5.319, "dos_at_fermi_per_ev_cell": 14.67, "relative_energy_mev_per_atom": 250, "rho_g_cm3": 4.688, "formation_energy_ev_per_fu": -0.27, "crystal_system": "trigonal", "cell": [[3.010, 1.738, 10.495], [-3.010, 1.738, 10.495], [0.000, -3.476, 10.495]], "species": ["Nd", "Nd", "Y", "Y", "Y", "Y", "Y", "Y", "Al", "Al", "Al", "Al"], "fractional_positions": [[0.000, 0.000, 0.000], [0.500, 0.500, 0.500], [0.068, 0.750, 0.432], [0.250, 0.568, 0.932], [0.432, 0.068, 0.750], [0.568, 0.932, 0.250], [0.750, 0.432, 0.068], [0.932, 0.250, 0.568], [0.167, 0.167, 0.167], [0.333, 0.333, 0.333], [0.667, 0.667, 0.667], [0.833, 0.833, 0.833]]}

=====

(7)
{"formula": "NdY6Al", "functional": "PBE-GGA", "state": "optimized geometry", "final_energy_ev_per_atom": -5.885, "dos_at_fermi_per_ev_cell": 11.19, "rho_g_cm3": 4.698, "formation_energy_ev_per_fu": 0.22, "crystal_system": "trigonal", "cell": [[4.656, 2.688, 3.319], [-4.656, 2.688, 3.319], [0.000, -5.376, 3.319]], "species": ["Nd", "Y", "Y", "Y", "Y", "Y", "Y", "Al"], "fractional_positions": [[0.000, 0.000, 0.000], [0.060, 0.264, 0.540], [0.264, 0.540, 0.060], [0.460, 0.940, 0.736], [0.540, 0.060, 0.264], [0.736, 0.460, 0.940], [0.940, 0.736, 0.460], [0.500, 0.500, 0.500]]}

=====

(8)
{"formula": "Nd12Y3Al", "functional": "PBE-GGA", "state": "optimized geometry", "final_energy_ev_per_atom": -5.040, "dos_at_fermi_per_ev_cell": 21.91, "rho_g_cm3": 6.320, "formation_energy_ev_per_fu": -0.29, "crystal_system": "tetragonal", "cell": [[5.078, 0.000, 0.000], [0.000, 5.078, 0.000], [0.000, 0.000, 20.626]], "species": ["Nd", "Nd", "Nd", "Nd", "Nd", "Nd", "Nd", "Nd", "Nd", "Nd", "Nd", "Nd", "Y", "Y", "Y", "Al"], "fractional_positions": [[0.000, 0.000, 0.000], [0.000, 0.000, 0.245], [0.000, 0.000, 0.500], [0.000, 0.000, 0.755], [0.000, 0.500, 0.117], [0.000, 0.500, 0.373], [0.000, 0.500, 0.627], [0.000, 0.500, 0.883], [0.500, 0.000, 0.117], [0.500, 0.000, 0.373], [0.500, 0.000, 0.627], [0.500, 0.000, 0.883], [0.500, 0.500, 0.246], [0.500, 0.500, 0.500], [0.500, 0.500, 0.754], [0.500, 0.500, 0.000]]}

=====

(9)
{"formula": "Nd15Y4Al", "functional": "PBE-GGA", "state": "optimized geometry", "final_energy_ev_per_atom": -5.069, "dos_at_fermi_per_ev_cell": 27.45, "rho_g_cm3": 6.299, "formation_energy_ev_per_fu": -0.27, "crystal_system": "tetragonal", "cell": [[5.104, 0.000, 0.000], [0.000, 5.104, 0.000], [0.000, 0.000, 25.765]], "species": ["Nd", "Nd", "Nd", "Nd", "Nd", "Nd", "Nd", "Nd", "Nd", "Nd", "Nd", "Nd", "Nd", "Nd", "Nd", "Y", "Y", "Y", "Y", "Al"], "fractional_positions": [[0.000, 0.000, 0.000], [0.000, 0.000, 0.195], [0.000, 0.000, 0.398], [0.000, 0.000, 0.602], [0.000, 0.000, 0.805], [0.000, 0.500, 0.093], [0.000, 0.500, 0.297], [0.000, 0.500, 0.500], [0.000, 0.500, 0.703], [0.000, 0.500, 0.907], [0.500, 0.000, 0.093], [0.500, 0.000, 0.297], [0.500, 0.000, 0.500], [0.500, 0.000, 0.703], [0.500, 0.000, 0.907], [0.500, 0.500, 0.196], [0.500, 0.500, 0.399], [0.500, 0.500, 0.601], [0.500, 0.500, 0.804], [0.500, 0.500, 0.000]]}

=====

(10)
{"formula": "NdYAl", "functional": "PBE-GGA", "state": "optimized geometry", "final_energy_ev_per_atom": -5.225, "dos_at_fermi_per_ev_cell": 4.31, "relative_energy_mev_per_atom": 12, "rho_g_cm3": 5.121, "formation_energy_ev_per_fu": -0.70, "crystal_system": "tetragonal", "cell": [[3.499, 0.000, 0.000], [0.000, 3.499, 0.000], [0.000, 0.000, 13.778]], "species": ["Nd", "Nd", "Y", "Y", "Al", "Al"], "fractional_positions": [[0.000, 0.000, 0.000], [0.500, 0.500, 0.500], [0.000, 0.000, 0.707], [0.500, 0.500, 0.207], [0.000, 0.000, 0.348], [0.500, 0.500, 0.848]]}

=====

| no. | volume (Å³/atom) |
| --- | --- |
| 1 | 27.67 |
| 2 | 22.25 |
| 3 | 27.91 |
| 4 | 28.77 |
| 5 | 28.85 |
| 6 | 27.45 |
| 7 | 31.13 |
| 8 | 33.25 |
| 9 | 33.56 |
| 10 | 28.12 |